Compound: CeNd2Pd
Source: Alexandria
Functional: PBE
Structure: optimized geometry

energy above the lowest structure with this stoichiometry: 136 meV per atom
formation enthalpy at 0 K: -149 meV/atom

a = 5.4481 Å, b = 5.4481 Å, c = 3.5438 Å
α = 90.00°, β = 90.00°, γ = 90.00°
Space group P4/mmm (No. 123)
Symmetry-distinct sites (fractional):
1 Ce 0.0000 0.0000 0.0000 x1
2 Nd 0.0000 0.5000 0.5000 x2
3 Pd 0.5000 0.5000 0.0000 x1

Compound: Rb3Pd2Cl8
Source: Alexandria
Functional: PBE
Structure: optimized geometry

E_form (uncorrected): -0.97 eV per atom

a = 7.3646 Å, b = 7.3646 Å, c = 27.6409 Å
α = 90.00°, β = 90.00°, γ = 120.00°
Space group R-3m (No. 166, hexagonal axes)
Symmetry-distinct sites (fractional):
1 Rb 0.0000 0.0000 0.0000 x3
2 Rb 0.0000 0.0000 0.2084 x6
3 Pd 0.0000 0.0000 0.4116 x6
4 Cl 0.0000 0.0000 0.3267 x6
5 Cl 0.0230 0.5115 0.7699 x18

Compound: InBPCl2
Source: Alexandria
Functional: PBE
Structure: optimized geometry

energy above the lowest structure with this stoichiometry: 685 meV per atom
E_form (uncorrected): 0.98 eV per atom

a = 5.3376 Å, b = 5.3376 Å, c = 5.4535 Å
α = 90.00°, β = 90.00°, γ = 90.00°
Space group P4/mmm (No. 123)
Symmetry-distinct sites (fractional):
1 In 0.0000 0.0000 0.0000 x1
2 B 0.5000 0.5000 0.5000 x1
3 P 0.0000 0.0000 0.5000 x1
4 Cl 0.0000 0.5000 0.0000 x2

Compound: Cs3Tb2PrTe6
Source: Alexandria
Functional: PBE
Structure: optimized geometry

E_form (uncorrected): -1.40 eV per atom

a = 7.9958 Å, b = 13.8498 Å, c = 9.3244 Å
α = 90.00°, β = 106.62°, γ = 90.00°
Space group C2/m (No. 12)
Symmetry-distinct sites (fractional):
1 Cs 0.0000 0.0000 0.0000 x2
2 Cs 0.0000 0.3355 0.0000 x4
3 Tb 0.0000 0.1669 0.5000 x4
4 Pr 0.0000 0.5000 0.5000 x2
5 Te 0.2224 0.0000 0.6916 x4
6 Te 0.2349 0.3293 0.6925 x8

Compound: ErMg5
Source: Alexandria
Functional: PBE
Structure: optimized geometry

formation enthalpy at 0 K: 10 meV/atom

a = 3.2393 Å, b = 3.2393 Å, c = 16.1288 Å
α = 90.00°, β = 90.00°, γ = 120.00°
Space group P-6m2 (No. 187)
Symmetry-distinct sites (fractional):
1 Er 0.0000 0.0000 0.0000 x1
2 Mg 0.0000 0.0000 0.3376 x2
3 Mg 0.3333 0.6667 0.1758 x2
4 Mg 0.3333 0.6667 0.5000 x1

Quick rundown of spin magnetization, same order as above: 0.486 5.058 1.206 0.000 0.000 μB per formula unit